1.
The following is a GGA-PBE calculation of a geometry-optimized CsAg4TeS2 structure, from Alexandria.

Properties
Its space-group type is No. 123. The calculation puts the raw total energy at -3.26 eV/atom.

Unit cell a=4.3107 b=4.3107 c=11.0693 alpha=90.00 beta=90.00 gamma=90.00
With the nearest neighbours (Å) after each atom.
Positions (direct):
Cs1 0.0000 0.0000 0.5000  8 S 3.70, 8 Ag 4.11
Ag1 0.0000 0.5000 0.1839  2 S 2.57
Ag2 0.5000 0.0000 0.8161  2 S 2.57
Ag3 0.5000 0.0000 0.1839  2 S 2.57
Ag4 0.0000 0.5000 0.8161  2 S 2.57
Te1 0.0000 0.0000 0.0000  8 Ag 2.96
S1 0.5000 0.5000 0.3108  4 Ag 2.57
S2 0.5000 0.5000 0.6892  4 Ag 2.57



2.
The following is a GGA-PBE calculation of a geometry-optimized NdPdPb structure, from Alexandria.

Properties
Its space-group type is No. 187. The value obtained for the formation energy is -0.67 eV/atom. The calculation puts the raw total energy at -5.23 eV/atom.

Unit cell a=3.7588 b=4.8147 c=4.8147 alpha=120.00 beta=90.00 gamma=90.00
With the nearest neighbours (Å) after each atom.
Positions (direct):
Pb1 0.1671 0.3333 0.6667  3 Pd 2.78
Nd1 0.6668 0.6667 0.3333  6 Pd 3.35-3.36, 6 Pb 3.35-3.36
Pd1 0.1661 0.0000 0.0000  3 Pb 2.78



3.
The following is a GGA-PBE calculation of a geometry-optimized Sr2Si5Ni3 structure, from Alexandria.

Properties
Its space-group type is No. 72. The calculation puts the raw total energy at -5.29 eV/atom.

Unit cell a=5.7554 b=8.1652 c=8.1652 alpha=75.06 beta=69.36 gamma=69.36
With the nearest neighbours (Å) after each atom.
Positions (direct):
Sr1 0.1297 0.6120 0.1287  10 Si 3.02-3.22, 6 Ni 3.14-3.31
Sr2 0.6297 0.1287 0.6120  10 Si 3.02-3.22, 6 Ni 3.14-3.31
Sr3 0.8703 0.3880 0.8713  10 Si 3.02-3.22, 6 Ni 3.14-3.31
Sr4 0.3703 0.8713 0.3880  10 Si 3.02-3.22, 6 Ni 3.14-3.31
Si1 0.3894 0.2511 0.9700  3 Ni 2.38-2.45, 2 Si 2.52
Si2 0.8894 0.9700 0.2511  3 Ni 2.38-2.45, 2 Si 2.52
Si3 0.6106 0.7489 0.0300  3 Ni 2.38-2.45, 2 Si 2.52
Si4 0.1106 0.0300 0.7489  3 Ni 2.38-2.45, 2 Si 2.52
Si5 0.4918 0.7582 0.7582  2 Ni 2.36, 2 Si 2.52
Si6 0.5082 0.2418 0.2418  2 Ni 2.36, 2 Si 2.52
Si7 0.7500 0.5000 0.5000  4 Ni 2.37
Si8 0.2500 0.5000 0.5000  4 Ni 2.37
Si9 0.0082 0.2418 0.2418  2 Ni 2.36, 2 Si 2.52
Si10 0.9918 0.7582 0.7582  2 Ni 2.36, 2 Si 2.52
Ni1 0.3698 0.5165 0.7440  5 Si 2.36-2.45
Ni2 0.8698 0.7440 0.5165  5 Si 2.36-2.45
Ni3 0.6302 0.4835 0.2560  5 Si 2.36-2.45
Ni4 0.1302 0.2560 0.4835  5 Si 2.36-2.45
Ni5 0.2500 0.0000 0.0000  4 Si 2.38
Ni6 0.7500 0.0000 0.0000  4 Si 2.38